# KCoC2 (SCAN, single point on PBEsol structure)
data_KCoC2
_chemical_formula_sum 'K4 Co4 C8'
_space_group_name_H-M_alt 'I 41/a m d'
_space_group_IT_number 141
_cell_length_a 5.280
_cell_length_b 5.280
_cell_length_c 8.971
_cell_angle_alpha 90.00
_cell_angle_beta 90.00
_cell_angle_gamma 90.00
loop_
_space_group_symop_operation_xyz
'x,y,z'
'-x,-y,-z'
'-y+1/4,x+3/4,z+1/4'
'y+1/4,-x+3/4,-z+1/4'
'-x+1/2,-y,z+1/2'
'x+1/2,y,-z+1/2'
'y+1/4,-x+1/4,z+3/4'
'-y+1/4,x+1/4,-z+3/4'
'x,-y,-z'
'-x,y,z'
'-y+1/4,-x+1/4,-z+3/4'
'y+1/4,x+1/4,z+3/4'
'-x+1/2,y,-z+1/2'
'x+1/2,-y,z+1/2'
'y+1/4,x+3/4,-z+1/4'
'-y+1/4,-x+3/4,z+1/4'
'x+1/2,y+1/2,z+1/2'
'-x+1/2,-y+1/2,-z+1/2'
'-y+3/4,x+1/4,z+3/4'
'y+3/4,-x+1/4,-z+3/4'
'-x,-y+1/2,z'
'x,y+1/2,-z'
'y+3/4,-x+3/4,z+1/4'
'-y+3/4,x+3/4,-z+1/4'
'x+1/2,-y+1/2,-z+1/2'
'-x+1/2,y+1/2,z+1/2'
'-y+3/4,-x+3/4,-z+1/4'
'y+3/4,x+3/4,z+1/4'
'-x,y+1/2,-z'
'x,-y+1/2,z'
'y+3/4,x+1/4,-z+3/4'
'-y+3/4,-x+1/4,z+3/4'
loop_
_atom_site_label
_atom_site_type_symbol
_atom_site_fract_x
_atom_site_fract_y
_atom_site_fract_z
_atom_site_occupancy
K1 K 0.000 0.250 0.375 1
Co1 Co 0.000 0.250 0.875 1
C1 C 0.000 0.000 0.000 1
# * final energy: -10.6975 eV per atom
# * ΔE to the lowest computed polymorph: 0 meV per atom

# KCo3C (SCAN, single point on PBEsol structure)
data_KCo3C
_chemical_formula_sum 'K1 Co3 C1'
_space_group_name_H-M_alt 'P m -3 m'
_space_group_IT_number 221
_space_group_name_Hall '-P 4 2 3'
_cell_length_a 4.224
_cell_length_b 4.224
_cell_length_c 4.224
_cell_angle_alpha 90.00
_cell_angle_beta 90.00
_cell_angle_gamma 90.00
loop_
_atom_site_label
_atom_site_type_symbol
_atom_site_fract_x
_atom_site_fract_y
_atom_site_fract_z
_atom_site_occupancy
K1 K 0.000 0.000 0.000 1
Co1 Co 0.000 0.000 0.500 1
C1 C 0.500 0.500 0.500 1
# * final energy: -10.4294 eV per atom

For reference, ΔH_f (0 K) by record: 0.761, 3.639 eV/atom.